# 1
# PaSnBi PBE relaxed
# DFT formation energy: -25.7 kJ per mole of atoms
# Raw total energy: -0.445 Ry/atom
data_PaSnBi
_space_group_name_H-M_alt 'I 4/m m m'
_space_group_IT_number 139
_space_group_name_Hall '-I 4 2'
_cell_length_a 4.4002
_cell_length_b 4.4002
_cell_length_c 17.6336
_cell_angle_alpha 90.00
_cell_angle_beta 90.00
_cell_angle_gamma 90.00
loop_
_atom_site_label
_atom_site_type_symbol
_atom_site_fract_x
_atom_site_fract_y
_atom_site_fract_z
Pa1 Pa 0.0000 0.0000 0.1327
Sn1 Sn 0.0000 0.5000 0.0000
Bi1 Bi 0.0000 0.0000 0.3202

# 2
# Pa2SnBi5 PBE relaxed
# DFT formation energy: -8.3 kJ per mole of atoms
# Raw total energy: -0.396 Ry/atom
data_Pa2SnBi5
_space_group_name_H-M_alt 'P b a m'
_space_group_IT_number 55
_cell_length_a 8.4330
_cell_length_b 12.5815
_cell_length_c 4.6007
_cell_angle_alpha 90.00
_cell_angle_beta 90.00
_cell_angle_gamma 90.00
loop_
_space_group_symop_operation_xyz
'x,y,z'
'-x,-y,-z'
'-x,-y,z'
'x,y,-z'
'x+1/2,-y+1/2,-z'
'-x+1/2,y+1/2,z'
'-x+1/2,y+1/2,-z'
'x+1/2,-y+1/2,z'
loop_
_atom_site_label
_atom_site_type_symbol
_atom_site_fract_x
_atom_site_fract_y
_atom_site_fract_z
Pa1 Pa 0.0944 0.1691 0.0000
Sn1 Sn 0.0000 0.5000 0.5000
Bi1 Bi 0.0000 0.0000 0.5000
Bi2 Bi 0.1428 0.7250 0.5000
Bi3 Bi 0.2202 0.4266 0.0000

# 3
# ThPaSnBi PBE relaxed
# DFT formation energy: -23.6 kJ per mole of atoms
# Raw total energy: -0.474 Ry/atom
data_ThPaSnBi
_space_group_name_H-M_alt 'F -4 3 m'
_space_group_IT_number 216
_space_group_name_Hall 'F -4 2 3'
_cell_length_a 7.7008
_cell_length_b 7.7008
_cell_length_c 7.7008
_cell_angle_alpha 90.00
_cell_angle_beta 90.00
_cell_angle_gamma 90.00
loop_
_atom_site_label
_atom_site_type_symbol
_atom_site_fract_x
_atom_site_fract_y
_atom_site_fract_z
Th1 Th 0.0000 0.0000 0.0000
Pa1 Pa 0.0000 0.0000 0.5000
Sn1 Sn 0.2500 0.2500 0.7500
Bi1 Bi 0.2500 0.2500 0.2500

# 4
# SrPaBi3 PBE relaxed
# DFT formation energy: -30.8 kJ per mole of atoms
# Raw total energy: -0.359 Ry/atom
data_SrPaBi3
_space_group_name_H-M_alt 'P b c m'
_space_group_IT_number 57
_cell_length_a 15.4746
_cell_length_b 6.4205
_cell_length_c 6.6718
_cell_angle_alpha 90.00
_cell_angle_beta 90.00
_cell_angle_gamma 90.00
loop_
_space_group_symop_operation_xyz
'x,y,z'
'-x,-y,-z'
'-x,-y,z+1/2'
'x,y,-z+1/2'
'x,-y+1/2,-z'
'-x,y+1/2,z'
'-x,y+1/2,-z+1/2'
'x,-y+1/2,z+1/2'
loop_
_atom_site_label
_atom_site_type_symbol
_atom_site_fract_x
_atom_site_fract_y
_atom_site_fract_z
Sr1 Sr 0.1768 0.0385 0.2500
Pa1 Pa 0.4076 0.7500 0.0000
Bi1 Bi 0.0112 0.7500 0.0000
Bi2 Bi 0.2527 0.5371 0.2500
Bi3 Bi 0.4109 0.2016 0.2500

# 5
# SrPaBi2 PBE relaxed
# DFT formation energy: -46.9 kJ per mole of atoms
# Raw total energy: -0.384 Ry/atom
data_SrPaBi2
_space_group_name_H-M_alt 'R -3 m'
_space_group_IT_number 166
_space_group_name_Hall '-R 3 2"'
_cell_length_a 4.6109
_cell_length_b 4.6109
_cell_length_c 23.3389
_cell_angle_alpha 90.00
_cell_angle_beta 90.00
_cell_angle_gamma 120.00
loop_
_atom_site_label
_atom_site_type_symbol
_atom_site_fract_x
_atom_site_fract_y
_atom_site_fract_z
Sr1 Sr 0.0000 0.0000 0.0000
Pa1 Pa 0.0000 0.0000 0.5000
Bi1 Bi 0.0000 0.0000 0.2420

# 6
# Sr3PaBi12 PBE relaxed
# DFT formation energy: -35.4 kJ per mole of atoms
# Raw total energy: -0.308 Ry/atom
data_Sr3PaBi12
_space_group_name_H-M_alt 'P 4/m m m'
_space_group_IT_number 123
_space_group_name_Hall '-P 4 2'
_cell_length_a 5.0006
_cell_length_b 5.0006
_cell_length_c 20.4242
_cell_angle_alpha 90.00
_cell_angle_beta 90.00
_cell_angle_gamma 90.00
loop_
_atom_site_label
_atom_site_type_symbol
_atom_site_fract_x
_atom_site_fract_y
_atom_site_fract_z
Sr1 Sr 0.0000 0.0000 0.0000
Sr2 Sr 0.0000 0.0000 0.2595
Pa1 Pa 0.0000 0.0000 0.5000
Bi1 Bi 0.0000 0.5000 0.1290
Bi2 Bi 0.0000 0.5000 0.3843
Bi3 Bi 0.5000 0.5000 0.0000
Bi4 Bi 0.5000 0.5000 0.2506
Bi5 Bi 0.5000 0.5000 0.5000

# 7
# SrPaBi2 PBE relaxed
# DFT formation energy: -38.4 kJ per mole of atoms
# Raw total energy: -0.377 Ry/atom
data_SrPaBi2
_space_group_name_H-M_alt 'P 4/m m m'
_space_group_IT_number 123
_space_group_name_Hall '-P 4 2'
_cell_length_a 3.9394
_cell_length_b 3.9394
_cell_length_c 8.2235
_cell_angle_alpha 90.00
_cell_angle_beta 90.00
_cell_angle_gamma 90.00
loop_
_atom_site_label
_atom_site_type_symbol
_atom_site_fract_x
_atom_site_fract_y
_atom_site_fract_z
Sr1 Sr 0.0000 0.0000 0.0000
Pa1 Pa 0.0000 0.0000 0.5000
Bi1 Bi 0.5000 0.5000 0.2750

# 8
# Sr2Pa2Bi5 PBE relaxed
# DFT formation energy: -45.1 kJ per mole of atoms
# Raw total energy: -0.375 Ry/atom
data_Sr2Pa2Bi5
_space_group_name_H-M_alt 'C m c e'
_space_group_IT_number 64
_space_group_name_Hall '-C 2ac 2'
_cell_length_a 16.8996
_cell_length_b 8.4630
_cell_length_c 8.5123
_cell_angle_alpha 90.00
_cell_angle_beta 90.00
_cell_angle_gamma 90.00
loop_
_atom_site_label
_atom_site_type_symbol
_atom_site_fract_x
_atom_site_fract_y
_atom_site_fract_z
Sr1 Sr 0.2040 0.0000 0.0000
Pa1 Pa 0.0000 0.1425 0.3564
Bi1 Bi 0.0000 0.0000 0.0000
Bi2 Bi 0.1249 0.1557 0.6543

# 9
# SrPaBi6 PBE relaxed
# DFT formation energy: -26.9 kJ per mole of atoms
# Raw total energy: -0.337 Ry/atom
data_SrPaBi6
_space_group_name_H-M_alt 'P 4/m m m'
_space_group_IT_number 123
_space_group_name_Hall '-P 4 2'
_cell_length_a 5.0445
_cell_length_b 5.0445
_cell_length_c 9.7606
_cell_angle_alpha 90.00
_cell_angle_beta 90.00
_cell_angle_gamma 90.00
loop_
_atom_site_label
_atom_site_type_symbol
_atom_site_fract_x
_atom_site_fract_y
_atom_site_fract_z
Sr1 Sr 0.0000 0.0000 0.0000
Pa1 Pa 0.0000 0.0000 0.5000
Bi1 Bi 0.0000 0.5000 0.2611
Bi2 Bi 0.5000 0.5000 0.0000
Bi3 Bi 0.5000 0.5000 0.5000

# 10
# SrPaBi2 PBE relaxed
# DFT formation energy: -24.8 kJ per mole of atoms
# Raw total energy: -0.367 Ry/atom
data_SrPaBi2
_space_group_name_H-M_alt 'F m -3 m'
_space_group_IT_number 225
_space_group_name_Hall '-F 4 2 3'
_cell_length_a 7.9591
_cell_length_b 7.9591
_cell_length_c 7.9591
_cell_angle_alpha 90.00
_cell_angle_beta 90.00
_cell_angle_gamma 90.00
loop_
_atom_site_label
_atom_site_type_symbol
_atom_site_fract_x
_atom_site_fract_y
_atom_site_fract_z
Sr1 Sr 0.0000 0.0000 0.0000
Pa1 Pa 0.0000 0.0000 0.5000
Bi1 Bi 0.2500 0.2500 0.2500

# 11
# SrPa2Bi9 PBE relaxed
# DFT formation energy: -21.4 kJ per mole of atoms
# Raw total energy: -0.357 Ry/atom
data_SrPa2Bi9
_space_group_name_H-M_alt 'P 4/m m m'
_space_group_IT_number 123
_space_group_name_Hall '-P 4 2'
_cell_length_a 4.9832
_cell_length_b 4.9832
_cell_length_c 14.7302
_cell_angle_alpha 90.00
_cell_angle_beta 90.00
_cell_angle_gamma 90.00
loop_
_atom_site_label
_atom_site_type_symbol
_atom_site_fract_x
_atom_site_fract_y
_atom_site_fract_z
Sr1 Sr 0.0000 0.0000 0.0000
Pa1 Pa 0.0000 0.0000 0.3420
Bi1 Bi 0.0000 0.5000 0.1787
Bi2 Bi 0.0000 0.5000 0.5000
Bi3 Bi 0.5000 0.5000 0.0000
Bi4 Bi 0.5000 0.5000 0.3362

# 12
# Sr3Tb2PaBi6 PBE relaxed
# DFT formation energy: -70.4 kJ per mole of atoms
# Raw total energy: -0.342 Ry/atom
data_Sr3Tb2PaBi6
_space_group_name_H-M_alt 'C 1 2/m 1'
_space_group_IT_number 12
_cell_length_a 7.9965
_cell_length_b 13.8581
_cell_length_c 8.2104
_cell_angle_alpha 90.00
_cell_angle_beta 108.96
_cell_angle_gamma 90.00
loop_
_space_group_symop_operation_xyz
'x,y,z'
'-x,-y,-z'
'-x,y,-z'
'x,-y,z'
'x+1/2,y+1/2,z'
'-x+1/2,-y+1/2,-z'
'-x+1/2,y+1/2,-z'
'x+1/2,-y+1/2,z'
loop_
_atom_site_label
_atom_site_type_symbol
_atom_site_fract_x
_atom_site_fract_y
_atom_site_fract_z
Sr1 Sr 0.0000 0.0000 0.0000
Sr2 Sr 0.0000 0.3308 0.0000
Tb1 Tb 0.0000 0.1662 0.5000
Pa1 Pa 0.0000 0.5000 0.5000
Bi1 Bi 0.2384 0.3361 0.7242
Bi2 Bi 0.2478 0.0000 0.7253

# 13
# Sr2ThPaBi4 PBE relaxed
# DFT formation energy: -61.3 kJ per mole of atoms
# Raw total energy: -0.376 Ry/atom
data_Sr2ThPaBi4
_space_group_name_H-M_alt 'P 1 2/m 1'
_space_group_IT_number 10
_cell_length_a 8.0766
_cell_length_b 4.6667
_cell_length_c 8.2250
_cell_angle_alpha 90.00
_cell_angle_beta 109.13
_cell_angle_gamma 90.00
loop_
_space_group_symop_operation_xyz
'x,y,z'
'-x,-y,-z'
'-x,y,-z'
'x,-y,z'
loop_
_atom_site_label
_atom_site_type_symbol
_atom_site_fract_x
_atom_site_fract_y
_atom_site_fract_z
Sr1 Sr 0.0000 0.0000 0.0000
Sr2 Sr 0.5000 0.5000 0.0000
Th1 Th 0.0000 0.5000 0.5000
Pa1 Pa 0.5000 0.0000 0.5000
Bi1 Bi 0.2490 0.0000 0.7302
Bi2 Bi 0.2628 0.5000 0.2728

# 14
# Sr3Tm2PaBi6 PBE relaxed
# DFT formation energy: -67.5 kJ per mole of atoms
# Raw total energy: -0.338 Ry/atom
data_Sr3Tm2PaBi6
_space_group_name_H-M_alt 'C 1 2/m 1'
_space_group_IT_number 12
_cell_length_a 7.9424
_cell_length_b 13.7579
_cell_length_c 8.2085
_cell_angle_alpha 90.00
_cell_angle_beta 108.81
_cell_angle_gamma 90.00
loop_
_space_group_symop_operation_xyz
'x,y,z'
'-x,-y,-z'
'-x,y,-z'
'x,-y,z'
'x+1/2,y+1/2,z'
'-x+1/2,-y+1/2,-z'
'-x+1/2,y+1/2,-z'
'x+1/2,-y+1/2,z'
loop_
_atom_site_label
_atom_site_type_symbol
_atom_site_fract_x
_atom_site_fract_y
_atom_site_fract_z
Sr1 Sr 0.0000 0.0000 0.0000
Sr2 Sr 0.0000 0.3322 0.0000
Tm1 Tm 0.0000 0.1665 0.5000
Pa1 Pa 0.0000 0.5000 0.5000
Bi1 Bi 0.2394 0.3345 0.7223
Bi2 Bi 0.2434 0.0000 0.7224

# 15
# PaTaBi2 PBE relaxed
# DFT formation energy: 51.5 kJ per mole of atoms
# Raw total energy: -0.496 Ry/atom
data_PaTaBi2
_space_group_name_H-M_alt 'R -3 m'
_space_group_IT_number 166
_space_group_name_Hall '-R 3 2"'
_cell_length_a 3.2421
_cell_length_b 3.2421
_cell_length_c 34.5492
_cell_angle_alpha 90.00
_cell_angle_beta 90.00
_cell_angle_gamma 120.00
loop_
_atom_site_label
_atom_site_type_symbol
_atom_site_fract_x
_atom_site_fract_y
_atom_site_fract_z
Pa1 Pa 0.0000 0.0000 0.0000
Ta1 Ta 0.0000 0.0000 0.5000
Bi1 Bi 0.0000 0.0000 0.4144

# 16
# Tb3PaBi4 PBE relaxed
# DFT formation energy: -64.6 kJ per mole of atoms
# Raw total energy: -0.407 Ry/atom
data_Tb3PaBi4
_space_group_name_H-M_alt 'C m m m'
_space_group_IT_number 65
_space_group_name_Hall '-C 2 2'
_cell_length_a 9.0082
_cell_length_b 12.6838
_cell_length_c 4.4784
_cell_angle_alpha 90.00
_cell_angle_beta 90.00
_cell_angle_gamma 90.00
loop_
_atom_site_label
_atom_site_type_symbol
_atom_site_fract_x
_atom_site_fract_y
_atom_site_fract_z
Tb1 Tb 0.0000 0.0000 0.0000
Tb2 Tb 0.2500 0.2500 0.5000
Pa1 Pa 0.0000 0.5000 0.0000
Bi1 Bi 0.0000 0.2507 0.0000
Bi2 Bi 0.2494 0.0000 0.5000

# 17
# Tb2PaBi3 PBE relaxed
# DFT formation energy: -57.6 kJ per mole of atoms
# Raw total energy: -0.416 Ry/atom
data_Tb2PaBi3
_space_group_name_H-M_alt 'I 4/m m m'
_space_group_IT_number 139
_space_group_name_Hall '-I 4 2'
_cell_length_a 4.4941
_cell_length_b 4.4941
_cell_length_c 19.0109
_cell_angle_alpha 90.00
_cell_angle_beta 90.00
_cell_angle_gamma 90.00
loop_
_atom_site_label
_atom_site_type_symbol
_atom_site_fract_x
_atom_site_fract_y
_atom_site_fract_z
Tb1 Tb 0.0000 0.0000 0.1680
Pa1 Pa 0.0000 0.0000 0.5000
Bi1 Bi 0.0000 0.0000 0.0000
Bi2 Bi 0.0000 0.0000 0.3337

# 18
# Tb2PaBi PBE relaxed
# DFT formation energy: -12.6 kJ per mole of atoms
# Raw total energy: -0.426 Ry/atom
data_Tb2PaBi
_space_group_name_H-M_alt 'P 4/m m m'
_space_group_IT_number 123
_space_group_name_Hall '-P 4 2'
_cell_length_a 4.9542
_cell_length_b 4.9542
_cell_length_c 4.5147
_cell_angle_alpha 90.00
_cell_angle_beta 90.00
_cell_angle_gamma 90.00
loop_
_atom_site_label
_atom_site_type_symbol
_atom_site_fract_x
_atom_site_fract_y
_atom_site_fract_z
Tb1 Tb 0.0000 0.5000 0.0000
Pa1 Pa 0.0000 0.0000 0.5000
Bi1 Bi 0.5000 0.5000 0.5000

# 19
# Tb4PaBi5 PBE relaxed
# DFT formation energy: -68.8 kJ per mole of atoms
# Raw total energy: -0.401 Ry/atom
data_Tb4PaBi5
_space_group_name_H-M_alt 'I 4/m'
_space_group_IT_number 87
_space_group_name_Hall '-I 4'
_cell_length_a 10.0327
_cell_length_b 10.0327
_cell_length_c 6.3548
_cell_angle_alpha 90.00
_cell_angle_beta 90.00
_cell_angle_gamma 90.00
loop_
_atom_site_label
_atom_site_type_symbol
_atom_site_fract_x
_atom_site_fract_y
_atom_site_fract_z
Tb1 Tb 0.0993 0.6988 0.0000
Pa1 Pa 0.0000 0.0000 0.5000
Bi1 Bi 0.0000 0.0000 0.0000
Bi2 Bi 0.0993 0.7017 0.5000

# 20
# Tb2PaBi PBE relaxed
# DFT formation energy: 10.6 kJ per mole of atoms
# Raw total energy: -0.408 Ry/atom
data_Tb2PaBi
_space_group_name_H-M_alt 'R -3 m'
_space_group_IT_number 166
_space_group_name_Hall '-R 3 2"'
_cell_length_a 3.4502
_cell_length_b 3.4502
_cell_length_c 35.8356
_cell_angle_alpha 90.00
_cell_angle_beta 90.00
_cell_angle_gamma 120.00
loop_
_atom_site_label
_atom_site_type_symbol
_atom_site_fract_x
_atom_site_fract_y
_atom_site_fract_z
Tb1 Tb 0.0000 0.0000 0.0900
Pa1 Pa 0.0000 0.0000 0.5000
Bi1 Bi 0.0000 0.0000 0.0000

# 21
# TbPaBiTe PBE relaxed
# Formation energy (no corrections): -0.607 eV/atom
# Raw total energy: -0.433 Ry/atom
data_TbPaBiTe
_space_group_name_H-M_alt 'F -4 3 m'
_space_group_IT_number 216
_space_group_name_Hall 'F -4 2 3'
_cell_length_a 7.6123
_cell_length_b 7.6123
_cell_length_c 7.6123
_cell_angle_alpha 90.00
_cell_angle_beta 90.00
_cell_angle_gamma 90.00
loop_
_atom_site_label
_atom_site_type_symbol
_atom_site_fract_x
_atom_site_fract_y
_atom_site_fract_z
Tb1 Tb 0.0000 0.0000 0.0000
Pa1 Pa 0.0000 0.0000 0.5000
Bi1 Bi 0.2500 0.2500 0.2500
Te1 Te 0.2500 0.2500 0.7500

# 22
# Pa2BiTe3 PBE relaxed
# Formation energy (no corrections): -0.629 eV/atom
# Raw total energy: -0.442 Ry/atom
data_Pa2BiTe3
_space_group_name_H-M_alt 'C 1 2/m 1'
_space_group_IT_number 12
_cell_length_a 9.7806
_cell_length_b 10.5252
_cell_length_c 6.9215
_cell_angle_alpha 90.00
_cell_angle_beta 90.00
_cell_angle_gamma 90.00
loop_
_space_group_symop_operation_xyz
'x,y,z'
'-x,-y,-z'
'-x,y,-z'
'x,-y,z'
'x+1/2,y+1/2,z'
'-x+1/2,-y+1/2,-z'
'-x+1/2,y+1/2,-z'
'x+1/2,-y+1/2,z'
loop_
_atom_site_label
_atom_site_type_symbol
_atom_site_fract_x
_atom_site_fract_y
_atom_site_fract_z
Pa1 Pa 0.0000 0.2393 0.0000
Pa2 Pa 0.0000 0.2389 0.5000
Bi1 Bi 0.0776 0.5000 0.2504
Te1 Te 0.1001 0.0000 0.7503
Te2 Te 0.2471 0.3335 0.7500

# 23
# Pa2BiTe4 PBE relaxed
# Formation energy (no corrections): -0.396 eV/atom
# Raw total energy: -0.401 Ry/atom
data_Pa2BiTe4
_space_group_name_H-M_alt 'I 41/a m d'
_space_group_IT_number 141
_cell_length_a 9.1924
_cell_length_b 9.1924
_cell_length_c 13.0402
_cell_angle_alpha 90.00
_cell_angle_beta 90.00
_cell_angle_gamma 90.00
loop_
_space_group_symop_operation_xyz
'x,y,z'
'-x,-y,-z'
'-y+1/4,x+3/4,z+1/4'
'y+1/4,-x+3/4,-z+1/4'
'-x+1/2,-y,z+1/2'
'x+1/2,y,-z+1/2'
'y+1/4,-x+1/4,z+3/4'
'-y+1/4,x+1/4,-z+3/4'
'x,-y,-z'
'-x,y,z'
'-y+1/4,-x+1/4,-z+3/4'
'y+1/4,x+1/4,z+3/4'
'-x+1/2,y,-z+1/2'
'x+1/2,-y,z+1/2'
'y+1/4,x+3/4,-z+1/4'
'-y+1/4,-x+3/4,z+1/4'
'x+1/2,y+1/2,z+1/2'
'-x+1/2,-y+1/2,-z+1/2'
'-y+3/4,x+1/4,z+3/4'
'y+3/4,-x+1/4,-z+3/4'
'-x,-y+1/2,z'
'x,y+1/2,-z'
'y+3/4,-x+3/4,z+1/4'
'-y+3/4,x+3/4,-z+1/4'
'x+1/2,-y+1/2,-z+1/2'
'-x+1/2,y+1/2,z+1/2'
'-y+3/4,-x+3/4,-z+1/4'
'y+3/4,x+3/4,z+1/4'
'-x,y+1/2,-z'
'x,-y+1/2,z'
'y+3/4,x+1/4,-z+3/4'
'-y+3/4,-x+1/4,z+3/4'
loop_
_atom_site_label
_atom_site_type_symbol
_atom_site_fract_x
_atom_site_fract_y
_atom_site_fract_z
Pa1 Pa 0.0000 0.0000 0.0000
Bi1 Bi 0.0000 0.2500 0.3750
Te1 Te 0.0000 0.0223 0.7619